Version a
First-principles (PBE) data for an optimized crystal structure of PrHfSc, as listed in the Alexandria database.

Crystal system ... tetragonal
V ... 80.9 Å³/f.u.

```
PrHfSc
1.0
-0.116 -2.313 2.324
-1.038 -2.180 -2.221
7.698 0.383 -1.550
Pr Sc Hf
1 1 1
Cartesian
6.479 -4.093 -1.433
2.020 -2.926 -0.495
4.590 -1.201 -0.966
```

Version b
First-principles (PBE) data for an optimized crystal structure of PrHfSc, as listed in the Alexandria database.

Crystal system ... trigonal
V ... 80.1 Å³/f.u.

```
PrHfSc
1.0
3.349 0.000 0.000
-1.674 2.900 0.000
0.000 0.000 8.249
Pr Sc Hf
1 1 1
Cartesian
0.000 0.000 0.098
0.000 1.933 5.306
1.674 0.967 2.845
```

Decreasing stability: version a, version b

Version a
First-principles (PBE) data for an optimized crystal structure of PrSmHf, as listed in the Alexandria database.

Crystal system ... trigonal
V ... 89.7 Å³/f.u.

```
PrSmHf
1.0
-2.611 1.315 -1.824
-0.637 -1.796 2.871
0.423 7.345 4.688
Pr Hf Sm
1 1 1
Cartesian
-1.024 3.947 4.310
-1.813 2.707 1.291
0.012 0.210 0.134
```

Version b
First-principles (PBE) data for an optimized crystal structure of PrSmHf, as listed in the Alexandria database.

Crystal system ... tetragonal
V ... 89.9 Å³/f.u.

```
PrSmHf
1.0
-0.155 -3.354 0.548
2.922 0.148 1.735
-5.343 2.857 5.422
Pr Hf Sm
1 1 1
Cartesian
-0.098 0.031 0.163
0.043 -1.178 3.363
-2.520 0.799 4.178
```

Decreasing stability: version b, version a

Version a
First-principles (PBE) data for an optimized crystal structure of PrSm2Hf, as listed in the Alexandria database.

Crystal system ... tetragonal
V ... 123.2 Å³/f.u.

```
PrSm2Hf
1.0
-2.542 1.551 2.735
-2.078 -3.468 0.035
4.399 -2.580 5.551
Pr Hf Sm
1 1 2
Cartesian
-0.111 -2.248 4.161
-2.310 -0.959 1.385
3.455 -2.026 4.360
0.944 -0.553 1.191
```

Version b
First-principles (PBE) data for an optimized crystal structure of PrSm2Hf, as listed in the Alexandria database.

Crystal system ... tetragonal
V ... 121.8 Å³/f.u.

```
PrSm2Hf
1.0
4.981 0.000 0.000
0.000 4.945 0.000
0.000 0.000 4.945
Pr Hf Sm
1 1 2
Cartesian
2.490 0.000 0.000
2.490 2.472 2.472
0.000 0.000 2.472
0.000 2.472 0.000
```

Decreasing stability: version b, version a

Version a
First-principles (PBE) data for an optimized crystal structure of PrHfTh, as listed in the Alexandria database.

Crystal system ... tetragonal
V ... 89.4 Å³/f.u.

```
PrHfTh
1.0
-0.538 -1.162 -3.159
-2.853 -1.540 1.052
-2.337 7.697 -0.593
Pr Hf Th
1 1 1
Cartesian
-5.655 4.880 -2.670
-2.660 4.186 -1.086
-3.141 0.925 -1.644
```

Version b
First-principles (PBE) data for an optimized crystal structure of PrHfTh, as listed in the Alexandria database.

Crystal system ... tetragonal
V ... 90.0 Å³/f.u.

```
PrHfTh
1.0
-2.911 1.205 -1.964
-1.068 -3.509 -0.571
-7.187 0.412 10.903
Pr Th Hf
2 2 2
Cartesian
-4.930 -1.503 6.383
-4.247 0.763 3.252
-7.132 0.928 7.629
-2.044 -1.668 2.006
-7.284 -1.368 9.954
-1.893 0.628 -0.319
```

Decreasing stability: version b, version a

Version a
First-principles (PBE) data for an optimized crystal structure of PrHfTl2, as listed in the Alexandria database.

Crystal system ... tetragonal
V ... 104.9 Å³/f.u.

```
PrHfTl2
1.0
3.824 0.000 0.000
0.000 3.824 0.000
0.000 0.000 7.171
Pr Tl Hf
1 2 1
Cartesian
1.912 1.912 3.585
0.000 0.000 5.578
0.000 0.000 1.593
1.912 1.912 0.000
```

Version b
First-principles (PBE) data for an optimized crystal structure of PrHfTl2, as listed in the Alexandria database.

Crystal system ... trigonal
V ... 113.7 Å³/f.u.

```
PrHfTl2
1.0
-0.752 4.175 2.337
1.299 0.443 4.645
5.237 3.338 0.742
Pr Tl Hf
1 2 1
Cartesian
2.892 3.978 3.862
1.179 1.894 2.015
4.606 6.063 5.709
0.000 0.000 0.000
```

Decreasing stability: version a, version b

Version a
First-principles (PBE) data for an optimized crystal structure of Pr2HfTl, as listed in the Alexandria database.

Crystal system ... tetragonal
V ... 118.0 Å³/f.u.

```
Pr2HfTl
1.0
-0.164 3.451 -0.184
-2.782 -0.023 2.056
5.840 0.699 7.909
Pr Tl Hf
2 1 1
Cartesian
4.362 0.522 5.908
1.478 0.177 2.001
-1.473 1.714 0.936
1.447 2.063 4.891
```

Version b
First-principles (PBE) data for an optimized crystal structure of Pr2HfTl, as listed in the Alexandria database.

Crystal system ... trigonal
V ... 118.1 Å³/f.u.

```
Pr2HfTl
1.0
3.352 0.000 0.000
1.676 2.903 0.000
1.676 0.968 12.138
Pr Tl Hf
2 1 1
Cartesian
1.676 0.968 8.964
5.028 2.903 3.174
3.352 1.935 6.069
0.000 0.000 0.000
```

Decreasing stability: version a, version b

Version a
First-principles (PBE) data for an optimized crystal structure of PrTmHf, as listed in the Alexandria database.

Crystal system ... tetragonal
V ... 86.4 Å³/f.u.

```
PrTmHf
1.0
3.360 0.000 0.000
0.000 3.360 0.000
-1.680 -1.680 7.657
Pr Tm Hf
1 1 1
Cartesian
1.680 1.680 7.523
1.680 1.680 2.787
0.000 0.000 5.003
```

Version b
First-principles (PBE) data for an optimized crystal structure of PrTmHf, as listed in the Alexandria database.

Crystal system ... tetragonal
V ... 91.3 Å³/f.u.

```
PrTmHf
1.0
4.686 0.000 0.000
0.000 4.686 0.000
0.000 0.000 8.318
Hf Tm Pr
2 2 2
Cartesian
0.000 0.000 0.000
2.343 2.343 0.000
0.000 2.343 6.064
2.343 0.000 2.255
0.000 2.343 2.472
2.343 0.000 5.846
```

Decreasing stability: version a, version b

Version a
First-principles (PBE) data for an optimized crystal structure of PrTm2Hf, as listed in the Alexandria database.

Crystal system ... trigonal
V ... 116.7 Å³/f.u.

```
PrTm2Hf
1.0
-1.697 -1.643 -2.366
0.290 -3.320 -0.264
-9.717 -3.067 6.736
Pr Tm Hf
1 2 1
Cartesian
-5.562 -4.015 2.053
-7.353 -2.706 4.789
-3.771 -5.325 -0.684
0.000 0.000 0.000
```

Version b
First-principles (PBE) data for an optimized crystal structure of PrTm2Hf, as listed in the Alexandria database.

Crystal system ... tetragonal
V ... 114.9 Å³/f.u.

```
PrTm2Hf
1.0
4.875 0.000 0.000
0.000 4.855 0.000
0.000 0.000 4.855
Pr Tm Hf
1 2 1
Cartesian
2.437 2.427 2.427
0.000 0.000 2.427
0.000 2.427 0.000
2.437 0.000 0.000
```

Version c
First-principles (PBE) data for an optimized crystal structure of PrTm2Hf, as listed in the Alexandria database.

Crystal system ... tetragonal
V ... 118.4 Å³/f.u.

```
PrTm2Hf
1.0
-3.736 1.124 -0.538
-0.246 -2.332 -3.164
-2.367 -5.751 4.424
Pr Tm Hf
1 2 1
Cartesian
-3.175 -3.480 0.361
-1.863 -4.527 3.482
-0.504 -1.224 0.941
-1.991 -0.604 -1.851
```

Version d
First-principles (PBE) data for an optimized crystal structure of PrTm2Hf, as listed in the Alexandria database.

Crystal system ... trigonal
V ... 115.5 Å³/f.u.

```
PrTm2Hf
1.0
3.437 0.000 0.000
1.719 2.977 0.000
1.719 0.992 11.294
Pr Tm Hf
1 2 1
Cartesian
3.437 1.984 5.633
1.719 0.992 8.718
1.719 0.992 2.579
3.437 1.984 0.011
```

Decreasing stability: version d, version b, version c, version a

Version a
First-principles (PBE) data for an optimized crystal structure of PrYHf, as listed in the Alexandria database.

Crystal system ... tetragonal
V ... 88.5 Å³/f.u.

```
PrYHf
1.0
3.390 0.000 0.000
0.000 3.390 0.000
-1.695 -1.695 7.703
Pr Y Hf
1 1 1
Cartesian
0.000 0.000 4.967
0.000 0.000 0.232
1.695 1.695 2.503
```

Version b
First-principles (PBE) data for an optimized crystal structure of PrYHf, as listed in the Alexandria database.

Crystal system ... tetragonal
V ... 92.0 Å³/f.u.

```
PrYHf
1.0
3.771 0.000 0.000
0.000 3.771 0.000
0.000 0.000 12.943
Pr Y Hf
2 2 2
Cartesian
0.000 1.885 7.731
1.885 0.000 5.211
1.885 0.000 10.345
0.000 1.885 2.598
0.000 1.885 12.296
1.885 0.000 0.647
```

Decreasing stability: version b, version a

Version a
First-principles (PBE) data for an optimized crystal structure of PrHfZn2, as listed in the Alexandria database.

Crystal system ... cubic
V ... 86.4 Å³/f.u.

```
PrHfZn2
1.0
-1.006 -2.251 -4.306
3.680 -1.938 -2.705
0.463 -4.924 -0.393
Pr Zn Hf
1 2 1
Cartesian
0.000 0.000 0.000
0.784 -2.278 -1.851
2.353 -6.834 -5.553
1.568 -4.556 -3.702
```

Version b
First-principles (PBE) data for an optimized crystal structure of PrHfZn2, as listed in the Alexandria database.

Crystal system ... trigonal
V ... 91.8 Å³/f.u.

```
PrHfZn2
1.0
-2.943 1.151 1.341
-1.665 -1.872 2.348
3.058 3.880 7.773
Pr Zn Hf
1 2 1
Cartesian
-0.775 1.579 5.731
-1.046 2.473 8.762
-0.504 0.686 2.700
0.000 0.000 0.000
```

Decreasing stability: version a, version b

Version a
First-principles (PBE) data for an optimized crystal structure of PrHfZn, as listed in the Alexandria database.

Crystal system ... tetragonal
V ... 71.8 Å³/f.u.

```
PrHfZn
1.0
-0.276 -3.353 0.396
1.627 -0.480 -2.932
4.786 1.827 4.314
Pr Zn Hf
1 1 1
Cartesian
0.037 -0.001 0.020
2.700 -1.950 -0.139
3.401 -0.056 1.896
```

Version b
First-principles (PBE) data for an optimized crystal structure of PrHfZn, as listed in the Alexandria database.

Crystal system ... orthorhombic
V ... 69.9 Å³/f.u.

```
PrHfZn
1.0
-2.245 -4.745 -1.015
2.497 2.596 -3.577
5.150 -2.775 1.582
Zn Pr Hf
2 2 2
Cartesian
1.196 0.194 -3.552
3.771 -1.193 -2.761
3.486 -4.332 -1.537
0.911 -2.945 -2.328
1.638 -0.637 -0.645
4.213 -2.024 0.146
```

Decreasing stability: version a, version b

Version a
First-principles (PBE) data for an optimized crystal structure of PrHfZr, as listed in the Alexandria database.

Crystal system ... tetragonal
V ... 80.4 Å³/f.u.

```
PrHfZr
1.0
-3.118 0.811 -0.439
-0.823 -3.145 0.037
1.000 1.511 7.737
Pr Hf Zr
1 1 1
Cartesian
-2.936 -0.826 7.295
-0.620 0.219 4.816
-2.326 -1.042 2.561
```

Version b
First-principles (PBE) data for an optimized crystal structure of PrHfZr, as listed in the Alexandria database.

Crystal system ... trigonal
V ... 78.8 Å³/f.u.

```
PrHfZr
1.0
3.307 0.000 0.000
-1.654 2.864 0.000
0.000 0.000 8.316
Pr Hf Zr
1 1 1
Cartesian
0.000 0.000 0.026
1.654 0.955 2.933
0.000 1.909 5.357
```

Decreasing stability: version a, version b